(1)
Compound: TmZnGe2
Source: Alexandria
Functional: PBE
Structure: relaxed

* crystal system: tetragonal
* formation energy: -40.2 kJ/mol of atoms
* E: -16.648 eV for the cell shown

a = 4.0581 Å, b = 4.3117 Å, c = 4.3117 Å
α = 90.00°, β = 90.00°, γ = 90.00°
With the nearest neighbours (Å) after each atom.
Fractional coordinates of all 4 atoms:
Ge 0.0000 0.0000 0.5000  4 Tm 2.96, 4 Zn 2.96, 4 Ge 3.05
Ge 0.0000 0.5000 0.0000  4 Tm 2.96, 4 Zn 2.96, 4 Ge 3.05
Tm 0.5000 0.5000 0.5000  8 Ge 2.96, 4 Zn 3.05
Zn 0.5000 0.0000 0.0000  8 Ge 2.96, 4 Tm 3.05

(2)
Compound: LiBi2I
Source: Alexandria
Functional: PBE
Structure: relaxed

* crystal system: tetragonal
* distance to the lowest polymorph of the same formula: 0.000 eV per formula unit
* E: -24.502 eV for the cell shown

a = 4.4522 Å, b = 4.4522 Å, c = 14.5464 Å
α = 81.20°, β = 81.20°, γ = 90.00°
With the nearest neighbours (Å) after each atom.
Fractional coordinates of all 8 atoms:
I 0.0000 0.0000 0.0000  4 Li 3.15
I 0.7500 0.2500 0.5000  4 Li 3.15
Bi 0.5985 0.1250 0.2500  4 Bi 2.99-3.32
Bi 0.1515 0.6250 0.2500  4 Bi 2.99-3.32
Bi 0.3750 0.4015 0.7500  4 Bi 2.99-3.32
Bi 0.8750 0.8485 0.7500  4 Bi 2.99-3.32
Li 0.5000 0.5000 0.0000  4 I 3.15
Li 0.2500 0.7500 0.5000  4 I 3.15

(3)
Compound: KY2Sc
Source: Alexandria
Functional: PBE
Structure: relaxed

* crystal system: monoclinic
* distance to the lowest polymorph of the same formula: 0.895 eV per formula unit
* formation energy: 44.2 kJ/mol of atoms
* E: -18.524 eV for the cell shown

a = 6.1800 Å, b = 6.1800 Å, c = 7.1226 Å
α = 82.91°, β = 82.91°, γ = 32.49°
With the nearest neighbours (Å) after each atom.
Fractional coordinates of all 4 atoms:
K 0.4975 0.4975 0.5035  2 K 3.46, 1 Y 3.79, 1 Sc 3.81
Sc 0.7392 0.7392 0.8081  5 Y 3.29-3.55, 2 Sc 3.46
Y 0.0030 0.0030 0.9938  3 Sc 3.41-3.55, 5 Y 3.46-3.53
Y 0.2602 0.2602 0.1946  2 Sc 3.29, 5 Y 3.46-3.53

(4)
Compound: LaTeIr2
Source: Alexandria
Functional: PBE
Structure: relaxed

* crystal system: orthorhombic
* E: -27.081 eV for the cell shown

a = 4.1792 Å, b = 4.2298 Å, c = 5.6566 Å
α = 90.01°, β = 90.00°, γ = 90.00°
With the nearest neighbours (Å) after each atom.
Fractional coordinates of all 4 atoms:
Ir 0.0000 0.7498 0.0312  1 Ir 2.48, 2 Te 2.63
Ir 0.0000 0.7502 0.4688  1 Ir 2.48, 2 Te 2.63
La 0.5000 0.2500 0.2500  8 Ir 3.22, 4 Te 3.53
Te 0.5000 0.7500 0.7500  4 Ir 2.63

(5)
Compound: Tb3Ce4Se8
Source: Alexandria
Functional: PBE
Structure: relaxed

* crystal system: monoclinic
* distance to the lowest polymorph of the same formula: 0.000 eV per formula unit
* E: -92.836 eV for the cell shown

a = 8.2979 Å, b = 8.2940 Å, c = 8.2940 Å
α = 89.97°, β = 120.06°, γ = 120.06°
With the nearest neighbours (Å) after each atom.
Fractional coordinates of all 15 atoms:
Tb 0.5000 0.5000 0.0000  6 Se 2.93
Tb 0.5000 0.0000 0.5000  6 Se 2.93
Tb 0.5000 0.5000 0.5000  6 Se 2.89-2.90
Ce 0.5000 0.0000 0.0000  6 Se 2.97
Ce 0.0000 0.5000 0.0000  6 Se 2.93
Ce 0.0000 0.0000 0.0000  6 Se 2.99
Ce 0.0000 0.0000 0.5000  6 Se 2.93
Se 0.5110 0.2586 0.2586  3 Tb 2.90-2.93, 2 Ce 2.97-2.99
Se 0.0000 0.7449 0.2551  2 Tb 2.93, 3 Ce 2.93-2.99
Se 0.0070 0.2586 0.2586  1 Tb 2.89, 4 Ce 2.93-2.99
Se 0.5000 0.7468 0.2532  3 Tb 2.89-2.93, 3 Ce 2.93-2.97
Se 0.5000 0.2532 0.7468  3 Tb 2.89-2.93, 3 Ce 2.93-2.97
Se 0.9930 0.7414 0.7414  1 Tb 2.89, 4 Ce 2.93-2.99
Se 0.0000 0.2551 0.7449  2 Tb 2.93, 3 Ce 2.93-2.99
Se 0.4890 0.7414 0.7414  3 Tb 2.90-2.93, 2 Ce 2.97-2.99

(6)
Compound: AlFeTe2
Source: Alexandria
Functional: PBE
Structure: relaxed

* crystal system: trigonal
* E: -18.095 eV for the cell shown

a = 7.7046 Å, b = 7.7046 Å, c = 7.7046 Å
α = 30.08°, β = 30.08°, γ = 30.08°
With the nearest neighbours (Å) after each atom.
Fractional coordinates of all 4 atoms:
Te 0.9620 0.9620 0.9620  3 Fe 2.56
Te 0.7799 0.7799 0.7799  3 Al 2.74
Fe 0.2447 0.2447 0.2447  3 Te 2.56, 3 Al 2.71
Al 0.5135 0.5135 0.5135  3 Fe 2.71, 3 Te 2.74

(7)
Compound: ZrFe3Ni
Source: Alexandria
Functional: PBE
Structure: relaxed

* crystal system: cubic
* distance to the lowest polymorph of the same formula: 0.000 eV per formula unit
* formation energy: 61.1 kJ/mol of atoms
* E: -36.552 eV for the cell shown

a = 4.3278 Å, b = 4.3278 Å, c = 4.3278 Å
α = 90.00°, β = 90.00°, γ = 90.00°
With the nearest neighbours (Å) after each atom.
Fractional coordinates of all 5 atoms:
Ni 0.0000 0.0000 0.0000  6 Fe 2.16
Fe 0.0000 0.5000 0.0000  2 Ni 2.16
Fe 0.0000 0.0000 0.5000  2 Ni 2.16
Fe 0.5000 0.0000 0.0000  2 Ni 2.16
Zr 0.5000 0.5000 0.5000  12 Fe 3.06

no.,V (A^3/atom)
1,18.860
2,35.189
3,36.226
4,24.998
5,26.868
6,25.446
7,16.212